# Ac2MnF8

Crystalline Ac2MnF8 at its relaxed geometry (PBE+U, the Alexandria database).

Values from the calculation:
- Energy: -71.81 eV for the cell shown
- Calculated density: 7.04 g/cm3
- Crystal system: monoclinic
- Symmetry: No. 12

Unit cell a=7.548 b=7.548 c=5.495 alpha=111.31 beta=111.31 gamma=32.56
Sites, in units of the cell vectors:
Ac  0.161  0.161  0.159
Ac  0.839  0.839  0.841
Mn  0.500  0.500  0.500
F  0.011  0.011  0.749
F  0.219  0.219  0.648
F  0.349  0.349  0.145
F  0.406  0.406  0.709
F  0.594  0.594  0.291
F  0.651  0.651  0.855
F  0.781  0.781  0.352
F  0.989  0.989  0.251